{"formula": "HoErInGa", "functional": "PBE", "state": "relaxed", "lattice": [[-1.7998, 3.0134, -3.7891], [-4.9138, -0.4335, -1.5311], [-3.3799, 3.7557, 1.0719]], "species": ["In", "Ho", "Ga", "Er"], "fractional_positions": [[0.7500, 0.7500, 0.7500], [0.0000, 0.0000, 0.0000], [0.2500, 0.2500, 0.2500], [0.5000, 0.5000, 0.5000]], "spacegroup": "F-43m", "de_polymorph_ev_per_atom": 0.019, "formation_enthalpy_0k_ev_per_atom": -0.49, "dos_at_fermi_per_ev_fu": 1.36}